This record from the Alexandria database describes a relaxed Pm7Sm12Tl crystal. The functional is PBE.

The structure in POSCAR format:
```
Pm7Sm12Tl
1.0
-6.1611 -6.4267 0.3492
7.4182 -4.9287 -0.2467
0.0904 2.5731 8.5296
Pm Sm Tl
7 12 1
Direct
0.2413 0.5001 0.7585
0.4999 0.2415 0.7587
0.2415 0.7587 0.4999
0.5000 0.5000 0.5000
0.7585 0.2413 0.5001
0.5001 0.7585 0.2413
0.7587 0.4999 0.2415
0.9075 0.3274 0.9076
0.6726 0.0924 0.0925
0.3456 0.0813 0.3454
0.9187 0.6546 0.6544
0.0924 0.0925 0.6726
0.6546 0.6544 0.9187
0.3454 0.3456 0.0813
0.9076 0.9075 0.3274
0.0813 0.3454 0.3456
0.6544 0.9187 0.6546
0.3274 0.9076 0.9075
0.0925 0.6726 0.0924
0.0000 0.0000 0.0000
```

Calculated values
ΔE_f (eV/atom): 0.03
Symmetry: No. 166
Total magnetic moment (μB/cell): 0.00

---

This record from the Alexandria database describes a relaxed Pm12Sm3Tl crystal. The functional is PBE.

The structure in POSCAR format:
```
Pm12Sm3Tl
1.0
-3.9337 -2.1148 2.4250
-0.7634 -3.1073 -3.9482
12.7168 -13.9157 8.4929
Pm Sm Tl
12 3 1
Direct
0.5000 0.5000 0.0000
0.5000 0.5000 0.2452
0.5000 0.5000 0.5000
0.5000 0.5000 0.7548
0.5000 0.0000 0.1207
0.5000 0.0000 0.3735
0.5000 0.0000 0.6265
0.5000 0.0000 0.8793
0.0000 0.5000 0.1207
0.0000 0.5000 0.3735
0.0000 0.5000 0.6265
0.0000 0.5000 0.8793
0.0000 0.0000 0.2477
0.0000 0.0000 0.5000
0.0000 0.0000 0.7523
0.0000 0.0000 0.0000
```

Calculated values
ΔE_f (eV/atom): -0.03
Symmetry: No. 123
Total magnetic moment (μB/cell): 0.00

---

| no. | raw total energy (eV per formula unit) |
| --- | --- |
| 1 | -91.57 |
| 2 | -74.00 |